A plane-wave DFT calculation with GGA-PBEsol was carried out for crystalline CdInHg2 at its relaxed geometry.

Unit cell a=3.267 b=5.406 c=5.522 alpha=100.29 beta=93.74 gamma=105.71
Space group P1 (No. 1)
Asymmetric unit:
Cd: 0.000 0.000 0.000 [1 per cell]
In: 0.748 0.503 0.287 [1 per cell]
Hg: 0.246 0.508 0.792 [1 per cell]
Hg: 0.498 0.007 0.508 [1 per cell]

Computed properties:
Density in g/cm3: 11.38
Magnetization in μB per atom: 0.00
Calculated formation energy in eV per atom: -0.003

=====

A plane-wave DFT calculation with GGA-PBEsol was carried out for crystalline YCoAsSe2 at its relaxed geometry.

Unit cell a=4.855 b=4.855 c=4.259 alpha=90.00 beta=90.00 gamma=90.00
Space group P4/mmm (No. 123)
Asymmetric unit:
Y: 0.000 0.000 0.000 [1 per cell]
Co: 0.500 0.500 0.500 [1 per cell]
As: 0.500 0.500 0.000 [1 per cell]
Se: 0.000 0.500 0.500 [2 per cell]

Computed properties:
Density in g/cm3: 6.30
Formation energy from raw total energies in meV/atom: -502
Magnetization in μB per atom: 0.00

=====

A plane-wave DFT calculation with GGA-PBEsol was carried out for crystalline NiMo3 at its relaxed geometry.

Unit cell a=3.209 b=4.199 c=8.365 alpha=90.00 beta=90.00 gamma=90.00
Space group Cmmm (No. 65)
Asymmetric unit:
Ni: 0.000 0.000 0.000 [2 per cell]
Mo: 0.000 0.000 0.500 [2 per cell]
Mo: 0.000 0.500 0.233 [4 per cell]

Computed properties:
Density in g/cm3: 10.21
Magnetization in μB per atom: 0.00
Calculated formation energy in eV per atom: 0.043

=====

A plane-wave DFT calculation with GGA-PBEsol was carried out for crystalline Y7FeI12 at its relaxed geometry.

Unit cell a=15.2108 b=15.2108 c=10.5436 alpha=90.00 beta=90.00 gamma=120.00
Space group R-3 (No. 148, hexagonal axes)
Asymmetric unit:
Y: 0.0000 0.0000 0.0000 [3 per cell]
Y: 0.0432 0.8863 0.3616 [18 per cell]
Fe: 0.0000 0.0000 0.5000 [3 per cell]
I: 0.0166 0.4296 0.1600 [18 per cell]
I: 0.0506 0.8685 0.8384 [18 per cell]

Computed properties:
Density in g/cm3: 5.19
Formation energy from raw total energies in meV/atom: -1197
Magnetization in μB per atom: 0.05

=====

A plane-wave DFT calculation with GGA-PBEsol was carried out for crystalline YAl2AsP at its relaxed geometry.

Unit cell a=5.461 b=5.461 c=5.195 alpha=90.00 beta=90.00 gamma=90.00
Space group P4/mmm (No. 123)
Asymmetric unit:
Y: 0.000 0.000 0.000 [1 per cell]
Al: 0.000 0.500 0.000 [2 per cell]
As: 0.000 0.000 0.500 [1 per cell]
P: 0.500 0.500 0.500 [1 per cell]

Computed properties:
Density in g/cm3: 2.67
Magnetization in μB per atom: 0.00
Calculated formation energy in eV per atom: 1.281

=====

A plane-wave DFT calculation with GGA-PBEsol was carried out for crystalline ScCd2 at its relaxed geometry.

Unit cell a=11.730 b=3.599 c=6.364 alpha=90.00 beta=109.79 gamma=90.00
Space group C2/m (No. 12)
Asymmetric unit:
Sc: 0.168 0.000 0.093 [4 per cell]
Cd: 0.006 0.500 0.757 [4 per cell]
Cd: 0.159 0.000 0.581 [4 per cell]

Computed properties:
Density in g/cm3: 7.09
Magnetization in μB per atom: 0.00
Calculated formation energy in eV per atom: -0.199